# 1
A geometry-optimized SrIn2N2 structure. Source: Alexandria via LeMat-Bulk, functional GGA-PBE.

Cell lengths 8.3741, 8.3741, 8.3741 Å; angles 24.32, 24.32, 24.32 degrees
Fractional coordinates of all 5 atoms:
Sr1 0.0000 0.0000 0.0000
In1 0.2198 0.2198 0.2198
In2 0.7802 0.7802 0.7802
N1 0.4025 0.4025 0.4025
N2 0.5975 0.5975 0.5975

Calculated values
As for the uncorrected formation energy: -0.193 eV per atom.

# 2
A geometry-optimized AcP2Ru3 structure. Source: Alexandria via LeMat-Bulk, functional GGA-PBE.

Cell lengths 8.0559, 8.0559, 7.4809 Å; angles 114.74, 114.74, 28.86 degrees
Fractional coordinates of all 12 atoms:
Ac1 0.1499 0.1499 0.0640
Ac2 0.8501 0.8501 0.9360
P1 0.1853 0.1853 0.6493
P2 0.4767 0.4767 0.7976
P3 0.5233 0.5233 0.2024
P4 0.8147 0.8147 0.3507
Ru1 0.0398 0.0398 0.3742
Ru2 0.3171 0.3171 0.5742
Ru3 0.4083 0.4083 0.3359
Ru4 0.5917 0.5917 0.6641
Ru5 0.6829 0.6829 0.4258
Ru6 0.9602 0.9602 0.6258

Calculated values
The calculation puts the formation energy at -69 kJ per mole of atoms.

# 3
A geometry-optimized Sm4As structure. Source: Alexandria via LeMat-Bulk, functional GGA-PBE.

Cell lengths 5.6224, 5.6224, 5.6224 Å; angles 90.00, 90.00, 90.00 degrees
Fractional coordinates of all 5 atoms:
Sm1 0.0000 0.0000 0.0000
Sm2 0.0000 0.5000 0.5000
Sm3 0.5000 0.0000 0.5000
Sm4 0.5000 0.5000 0.0000
As1 0.5000 0.5000 0.5000

Calculated values
The calculation puts the formation energy at -29 kJ per mole of atoms.

# 4
A geometry-optimized LaDyHgBi structure. Source: Alexandria via LeMat-Bulk, functional GGA-PBE.

Cell lengths 5.4948, 5.4948, 5.4948 Å; angles 60.00, 60.00, 60.00 degrees
Fractional coordinates of all 4 atoms:
La1 0.0000 0.0000 0.0000
Dy1 0.5000 0.5000 0.5000
Hg1 0.7500 0.7500 0.7500
Bi1 0.2500 0.2500 0.2500

Calculated values
The calculation puts the formation energy at -54 kJ per mole of atoms.

# 5
A geometry-optimized InSn2Au8 structure. Source: Alexandria via LeMat-Bulk, functional GGA-PBE.

Cell lengths 7.9042, 7.9042, 7.0203 Å; angles 103.14, 103.14, 30.64 degrees
Fractional coordinates of all 11 atoms:
In1 0.0000 0.0000 0.0000
Sn1 0.2769 0.2769 0.3419
Sn2 0.7231 0.7231 0.6581
Au1 0.0926 0.0926 0.4501
Au2 0.1782 0.1782 0.9056
Au3 0.3659 0.3659 0.8305
Au4 0.4622 0.4622 0.2810
Au5 0.5378 0.5378 0.7190
Au6 0.6341 0.6341 0.1695
Au7 0.8218 0.8218 0.0944
Au8 0.9074 0.9074 0.5499

Calculated values
The calculation puts the formation energy at -6 kJ per mole of atoms.

# 6
A geometry-optimized BaScNi structure. Source: Alexandria via LeMat-Bulk, functional GGA-PBE.

Cell lengths 6.8968, 6.8968, 9.3540 Å; angles 127.53, 127.53, 31.60 degrees
Fractional coordinates of all 6 atoms:
Ba1 0.0000 0.0000 0.0000
Ba2 0.0903 0.0903 0.6413
Sc1 0.2733 0.2733 0.4792
Sc2 0.3574 0.3574 0.2077
Ni1 0.5999 0.5999 0.3528
Ni2 0.7645 0.7645 0.2850

Calculated values
The calculation puts the formation energy at 0 kJ per mole of atoms.

# 7
A geometry-optimized AcCdBr6 structure. Source: Alexandria via LeMat-Bulk, functional GGA-PBE.

Cell lengths 7.1674, 7.3776, 7.5855 Å; angles 60.98, 67.12, 61.38 degrees
Fractional coordinates of all 8 atoms:
Ac1 0.0000 0.0000 0.0000
Cd1 0.5000 0.5000 0.5000
Br1 0.1267 0.3996 0.7295
Br2 0.2553 0.9136 0.2898
Br3 0.4424 0.6854 0.8114
Br4 0.5576 0.3146 0.1886
Br5 0.7447 0.0864 0.7102
Br6 0.8733 0.6004 0.2705

Calculated values
As for the uncorrected formation energy: -1.164 eV per atom.

# 8
A geometry-optimized Hf8Co2Pt structure. Source: Alexandria via LeMat-Bulk, functional GGA-PBE.

Cell lengths 7.1810, 7.1810, 5.0488 Å; angles 99.83, 99.83, 117.32 degrees
Fractional coordinates of all 11 atoms:
Hf1 0.0925 0.3378 0.5709
Hf2 0.2309 0.7691 0.0000
Hf3 0.3378 0.0925 0.5709
Hf4 0.3858 0.3858 0.1798
Hf5 0.6142 0.6142 0.8202
Hf6 0.6622 0.9075 0.4291
Hf7 0.7691 0.2309 0.0000
Hf8 0.9075 0.6622 0.4291
Co1 0.2906 0.7094 0.5000
Co2 0.7094 0.2906 0.5000
Pt1 0.0000 0.0000 0.0000

Calculated values
The calculation puts the formation energy at -22 kJ per mole of atoms.

# 9
A geometry-optimized Rb5ClO2 structure. Source: Alexandria via LeMat-Bulk, functional GGA-PBE.

Cell lengths 8.0010, 8.0010, 14.9175 Å; angles 90.00, 90.00, 140.55 degrees
Fractional coordinates of all 16 atoms:
Rb1 0.0458 0.9542 0.6011
Rb2 0.0458 0.9542 0.8989
Rb3 0.1804 0.8196 0.2500
Rb4 0.3062 0.6938 0.5511
Rb5 0.3062 0.6938 0.9489
Rb6 0.6938 0.3062 0.0511
Rb7 0.6938 0.3062 0.4489
Rb8 0.8196 0.1804 0.7500
Rb9 0.9542 0.0458 0.1011
Rb10 0.9542 0.0458 0.3989
Cl1 0.2011 0.7989 0.7500
Cl2 0.7989 0.2011 0.2500
O1 0.1312 0.8688 0.0595
O2 0.1312 0.8688 0.4405
O3 0.8688 0.1312 0.5595
O4 0.8688 0.1312 0.9405

Calculated values
As for the uncorrected formation energy: -1.141 eV per atom.

# 10
A geometry-optimized Tl2InFe structure. Source: Alexandria via LeMat-Bulk, functional GGA-PBE.

Cell lengths 7.3552, 7.3552, 7.3552 Å; angles 155.95, 142.88, 44.72 degrees
Fractional coordinates of all 4 atoms:
Tl1 0.0000 0.0000 0.0000
Tl2 0.6856 0.1856 0.5000
In1 0.3632 0.3632 0.0000
Fe1 0.1901 0.6901 0.5000

Calculated values
The calculation puts the formation energy at 34 kJ per mole of atoms.

# 11
A geometry-optimized AuNCl structure. Source: Alexandria via LeMat-Bulk, functional GGA-PBE.

Cell lengths 11.4901, 6.1596, 5.9416 Å; angles 90.00, 102.31, 90.00 degrees
Fractional coordinates of all 12 atoms:
Au1 0.1696 0.2498 0.1224
Au2 0.1696 0.2502 0.6224
Au3 0.8304 0.7498 0.3776
Au4 0.8304 0.7502 0.8776
N1 0.4876 0.0729 0.4447
N2 0.4876 0.4271 0.9447
N3 0.5124 0.5729 0.0553
N4 0.5124 0.9271 0.5553
Cl1 0.1703 0.5418 0.3724
Cl2 0.1703 0.9582 0.8724
Cl3 0.8297 0.0418 0.1276
Cl4 0.8297 0.4582 0.6276

Calculated values
As for the uncorrected formation energy: -0.116 eV per atom.

# 12
A geometry-optimized NaCdFeSn2 structure. Source: Alexandria via LeMat-Bulk, functional GGA-PBE.

Cell lengths 4.9223, 4.9223, 5.1809 Å; angles 90.00, 90.00, 90.00 degrees
Fractional coordinates of all 5 atoms:
Na1 0.0000 0.0000 0.0000
Cd1 0.5000 0.5000 0.0000
Fe1 0.5000 0.5000 0.5000
Sn1 0.0000 0.5000 0.5000
Sn2 0.5000 0.0000 0.5000

Calculated values
The calculation puts the formation energy at 5 kJ per mole of atoms.

Number 1: mass density 6.5 Mg/m³, total magnetization 0.000 μB/cell. Number 2: mass density 9.3 Mg/m³, total magnetization 0.000 μB/cell. Number 3: mass density 6.3 Mg/m³, total magnetization 0.003 μB/cell. Number 4: mass density 10.1 Mg/m³, total magnetization 0.001 μB/cell. Number 5: mass density 14.7 Mg/m³, total magnetization 0.000 μB/cell. Number 6: mass density 4.4 Mg/m³, total magnetization 0.000 μB/cell. Number 7: mass density 4.5 Mg/m³, total magnetization 1.046 μB/cell. Number 8: mass density 13.2 Mg/m³, total magnetization 0.000 μB/cell. Number 9: mass density 2.7 Mg/m³, total magnetization 0.331 μB/cell. Number 10: mass density 9.9 Mg/m³, total magnetization 2.294 μB/cell. Number 11: mass density 4.0 Mg/m³, total magnetization 0.000 μB/cell. Number 12: mass density 5.7 Mg/m³, total magnetization 1.127 μB/cell.